## A
{
  "formula": "ZrFeBiOs",
  "functional": "GGA-PBE",
  "state": "optimized geometry",
  "vol_a3_per_fu": 70.58,
  "crystal_system": "cubic",
  "m_tot_mub_per_fu": 1.14,
  "lattice_angstrom": [[3.535, 0.751, 2.908], [0.065, 3.818, 2.634], [-0.654, -0.331, 4.580]],
  "species": ["Fe", "Os", "Bi", "Zr"],
  "fractional_positions": [[0.750, 0.750, 0.750], [0.250, 0.250, 0.250], [0.000, 0.000, 0.000], [0.500, 0.500, 0.500]]
}



## B
{
  "formula": "ZrFeBiOs",
  "functional": "GGA-PBE",
  "state": "optimized geometry",
  "vol_a3_per_fu": 71.81,
  "crystal_system": "cubic",
  "m_tot_mub_per_fu": 3.52,
  "lattice_angstrom": [[0.000, 3.299, 3.299], [3.299, 0.000, 3.299], [3.299, 3.299, 0.000]],
  "species": ["Fe", "Bi", "Zr", "Os"],
  "fractional_positions": [[0.750, 0.750, 0.750], [0.000, 0.000, 0.000], [0.250, 0.250, 0.250], [0.500, 0.500, 0.500]]
}



Most stable: A (next structure +255 meV/atom)



## A
{
  "formula": "TaFeBiPd",
  "functional": "GGA-PBE",
  "state": "optimized geometry",
  "vol_a3_per_fu": 68.43,
  "crystal_system": "cubic",
  "m_tot_mub_per_fu": 1.05,
  "lattice_angstrom": [[0.000, 3.246, 3.246], [3.246, 0.000, 3.246], [3.246, 3.246, 0.000]],
  "species": ["Ta", "Bi", "Pd", "Fe"],
  "fractional_positions": [[0.500, 0.500, 0.500], [0.000, 0.000, 0.000], [0.250, 0.250, 0.250], [0.750, 0.750, 0.750]]
}



## B
{
  "formula": "TaFeBiPd",
  "functional": "GGA-PBE",
  "state": "optimized geometry",
  "vol_a3_per_fu": 68.36,
  "crystal_system": "cubic",
  "m_tot_mub_per_fu": 1.82,
  "lattice_angstrom": [[0.000, 3.245, 3.245], [3.245, 0.000, 3.245], [3.245, 3.245, 0.000]],
  "species": ["Ta", "Pd", "Bi", "Fe"],
  "fractional_positions": [[0.250, 0.250, 0.250], [0.500, 0.500, 0.500], [0.000, 0.000, 0.000], [0.750, 0.750, 0.750]]
}



Most stable: A (next structure +78 meV/atom)



## A
{
  "formula": "FeBiPdW",
  "functional": "GGA-PBE",
  "state": "optimized geometry",
  "vol_a3_per_fu": 68.18,
  "crystal_system": "cubic",
  "m_tot_mub_per_fu": 1.85,
  "lattice_angstrom": [[2.405, -3.710, -1.216], [-1.734, -2.961, -3.042], [1.804, -0.286, -4.206]],
  "species": ["Pd", "W", "Bi", "Fe"],
  "fractional_positions": [[0.500, 0.500, 0.500], [0.250, 0.250, 0.250], [0.000, 0.000, 0.000], [0.750, 0.750, 0.750]]
}



## B
{
  "formula": "FeBiPdW",
  "functional": "GGA-PBE",
  "state": "optimized geometry",
  "vol_a3_per_fu": 69.07,
  "crystal_system": "cubic",
  "m_tot_mub_per_fu": 2.87,
  "lattice_angstrom": [[1.906, -1.491, 3.918], [-0.548, 2.406, 3.888], [-2.664, -1.652, 3.374]],
  "species": ["Pd", "Fe", "W", "Bi"],
  "fractional_positions": [[0.250, 0.250, 0.250], [0.750, 0.750, 0.750], [0.500, 0.500, 0.500], [0.000, 0.000, 0.000]]
}



Most stable: A (next structure +40 meV/atom)